Compound: HfZnCd2
Source: the Alexandria database
Functional: GGA-PBE
Structure: optimized geometry

Calculated values
**Formation enthalpy at 0 K**: 0.3012 eV per atom
**SG**: No. 166
**E_tot**: -2.963 eV per atom
**Calculated density**: 9084 kg/m3

Structure (POSCAR):
```
HfZnCd2
1.0
1.5117 0.8728 10.8227
-1.5117 0.8728 10.8227
0.0000 -1.7456 10.8227
Hf Zn Cd
1 1 2
direct
0.0000 0.0000 0.0000 Hf
0.5000 0.5000 0.5000 Zn
0.0926 0.0926 0.0926 Cd
0.9074 0.9074 0.9074 Cd
```



Compound: PmEr2CdRh4
Source: the Alexandria database
Functional: GGA-PBE
Structure: optimized geometry

Calculated values
**Formation enthalpy at 0 K**: -0.7193 eV per atom
**SG**: No. 166
**E_tot**: -6.244 eV per atom
**Calculated density**: 10811 kg/m3

Structure (POSCAR):
```
PmEr2CdRh4
1.0
2.3885 1.3790 7.7997
-2.3885 1.3790 7.7997
0.0000 -2.7580 7.7997
Pm Er Cd Rh
1 2 1 4
direct
0.0000 0.0000 0.0000 Pm
0.2424 0.2424 0.2424 Er
0.7576 0.7576 0.7576 Er
0.5000 0.5000 0.5000 Cd
0.1233 0.1233 0.1233 Rh
0.3766 0.3766 0.3766 Rh
0.6234 0.6234 0.6234 Rh
0.8767 0.8767 0.8767 Rh
```



Compound: CdHgTe
Source: the Alexandria database
Functional: GGA-PBE
Structure: optimized geometry

Calculated values
**SG**: No. 156
**Energy above the lowest structure with this stoichiometry**: 0.173 eV/atom
**E_tot**: -1.416 eV per atom
**Formation energy without anion corrections**: 37 meV/atom
**Calculated density**: 8780 kg/m3

Structure (POSCAR):
```
CdHgTe
1.0
5.4842 0.0000 0.0000
-2.7421 4.7494 0.0000
0.0000 0.0000 3.1991
Cd Hg Te
1 1 1
direct
0.0000 0.0000 0.0000 Cd
0.3333 0.6667 0.4957 Hg
0.6667 0.3333 0.9985 Te
```



Compound: Co2TcAs
Source: the Alexandria database
Functional: GGA-PBE
Structure: optimized geometry

Calculated values
**Formation enthalpy at 0 K**: 0.0866 eV per atom
**SG**: No. 47
**E_tot**: -7.220 eV per atom
**Calculated density**: 9547 kg/m3

Structure (POSCAR):
```
Co2TcAs
1.0
2.7819 0.0000 0.0000
0.0000 3.6003 0.0000
0.0000 0.0000 5.0496
Co Tc As
2 1 1
direct
0.0000 0.0000 0.2427 Co
0.0000 0.0000 0.7573 Co
0.5000 0.5000 0.0000 Tc
0.5000 0.5000 0.5000 As
```